1.
Here is a relaxed TlIn2Pb crystal from Alexandria via LeMat-Bulk. Energies are from PBEsol.

Geometry as CIF:
```
data_TlIn2Pb
_cell_length_a 5.651
_cell_length_b 3.469
_cell_length_c 11.397
_cell_angle_alpha 90.00
_cell_angle_beta 102.58
_cell_angle_gamma 90.00
_symmetry_space_group_name_H-M 'C 1 2/m 1'
_symmetry_Int_Tables_number 12
loop_
_symmetry_equiv_pos_as_xyz
'x,y,z'
'-x,-y,-z'
'-x,y,-z'
'x,-y,z'
'x+1/2,y+1/2,z'
'-x+1/2,-y+1/2,-z'
'-x+1/2,y+1/2,-z'
'x+1/2,-y+1/2,z'
loop_
_atom_site_label
_atom_site_type_symbol
_atom_site_fract_x
_atom_site_fract_y
_atom_site_fract_z
Tl1 Tl 0.000 0.000 0.000
In1 In 0.016 0.500 0.248
Pb1 Pb 0.000 0.000 0.500
```

Calculated values
* energy of formation: 0.017 eV/atom
* calculated total energy: -3.132 eV per atom

2.
Here is a relaxed TlIn2Pb crystal from Alexandria via LeMat-Bulk. Energies are from PBEsol.

Geometry as CIF:
```
data_TlIn2Pb
_cell_length_a 3.604
_cell_length_b 5.614
_cell_length_c 10.791
_cell_angle_alpha 90.00
_cell_angle_beta 90.00
_cell_angle_gamma 90.00
_symmetry_space_group_name_H-M 'I m m m'
_symmetry_Int_Tables_number 71
_symmetry_space_group_name_Hall '-I 2 2'
loop_
_atom_site_label
_atom_site_type_symbol
_atom_site_fract_x
_atom_site_fract_y
_atom_site_fract_z
Tl1 Tl 0.000 0.000 0.000
In1 In 0.000 0.500 0.252
Pb1 Pb 0.000 0.000 0.500
```

Calculated values
* energy of formation: 0.032 eV/atom
* calculated total energy: -3.117 eV per atom

3.
Here is a relaxed Tl2InPb crystal from Alexandria via LeMat-Bulk. Energies are from PBEsol.

Geometry as CIF:
```
data_Tl2InPb
_cell_length_a 3.365
_cell_length_b 5.562
_cell_length_c 6.006
_cell_angle_alpha 90.00
_cell_angle_beta 94.23
_cell_angle_gamma 90.00
_symmetry_space_group_name_H-M 'P 1 m 1'
_symmetry_Int_Tables_number 6
loop_
_symmetry_equiv_pos_as_xyz
'x,y,z'
'x,-y,z'
loop_
_atom_site_label
_atom_site_type_symbol
_atom_site_fract_x
_atom_site_fract_y
_atom_site_fract_z
Tl1 Tl 0.000 0.000 0.000
Tl2 Tl 0.103 0.500 0.688
In1 In 0.584 0.500 0.193
Pb1 Pb 0.538 0.000 0.491
```

Calculated values
* energy of formation: 0.018 eV/atom
* calculated total energy: -3.042 eV per atom

Question: Which of these has the lowest calculated total energy?
Answer: number 1